No. 1
This record from the Alexandria database describes an optimized crystal structure of ReAs3C. The functional is PBE.

a = 4.804 Å, b = 4.804 Å, c = 4.804 Å
α = 90.00°, β = 90.00°, γ = 90.00°
Site moments in Bohr magnetons follow the coordinates.
Fractional positions:
Re 0.000 0.000 0.000  0.21
As 0.000 0.500 0.000  -0.09
As 0.000 0.000 0.500  -0.20
As 0.500 0.000 0.000  -0.07
C 0.500 0.500 0.500  0.81

energy relative to the lowest polymorph listed for this composition	0.4097	eV per atom
energy of formation	1784	meV per atom
space-group type	Pm-3m, No. 221



No. 2
This record from the Alexandria database describes an optimized crystal structure of Hg3PW. The functional is PBE.

a = 5.413 Å, b = 5.413 Å, c = 5.413 Å
α = 90.00°, β = 90.00°, γ = 90.00°
Site moments in Bohr magnetons follow the coordinates.
Fractional positions:
P 0.500 0.500 0.500  0.88
Hg 0.000 0.500 0.000  -0.05
Hg 0.000 0.000 0.500  -0.07
Hg 0.500 0.000 0.000  -0.01
W 0.000 0.000 0.000  -1.75

energy relative to the lowest polymorph listed for this composition	0.0327	eV per atom
energy of formation	1487	meV per atom
space-group type	Pm-3m, No. 221



No. 3
This record from the Alexandria database describes an optimized crystal structure of TbSb3Se6. The functional is PBE.

a = 4.023 Å, b = 12.343 Å, c = 12.100 Å
α = 105.15°, β = 90.00°, γ = 90.00°
Fractional positions:
Tb 0.750 0.032 0.688
Tb 0.250 0.968 0.312
Sb 0.750 0.428 0.838
Sb 0.250 0.572 0.162
Sb 0.750 0.709 0.466
Sb 0.250 0.291 0.534
Sb 0.750 0.151 0.099
Sb 0.250 0.849 0.901
Se 0.750 0.451 0.621
Se 0.250 0.549 0.379
Se 0.750 0.942 0.118
Se 0.250 0.058 0.882
Se 0.750 0.420 0.102
Se 0.250 0.580 0.898
Se 0.750 0.779 0.276
Se 0.250 0.221 0.724
Se 0.750 0.103 0.467
Se 0.250 0.897 0.533
Se 0.750 0.802 0.746
Se 0.250 0.198 0.254

E_form (uncorrected)	-0.67	eV per atom
space-group type	P2_1/m, No. 11



No. 4
This record from the Alexandria database describes an optimized crystal structure of LiEr2PuSe4. The functional is PBE.

a = 4.054 Å, b = 7.027 Å, c = 7.063 Å
α = 109.57°, β = 90.00°, γ = 90.00°
Site moments in Bohr magnetons follow the coordinates.
Fractional positions:
Li 0.000 0.000 0.000  0.00
Er 0.500 0.000 0.500  0.04
Er 0.000 0.500 0.500  0.10
Pu 0.500 0.500 0.000  5.45
Se 0.500 0.244 0.252  -0.01
Se 0.500 0.756 0.748  -0.01
Se 0.000 0.242 0.746  -0.03
Se 0.000 0.758 0.254  -0.03

E_form (uncorrected)	-1.65	eV per atom
space-group type	P2/m, No. 10



No. 5
This record from the Alexandria database describes an optimized crystal structure of MnZn2CrCd. The functional is PBE.

a = 4.692 Å, b = 5.064 Å, c = 4.692 Å
α = 90.00°, β = 90.00°, γ = 90.00°
Site moments in Bohr magnetons follow the coordinates.
Fractional positions:
Cr 0.500 0.500 0.500  4.08
Zn 0.000 0.000 0.500  0.00
Zn 0.500 0.000 0.000  -0.03
Mn 0.000 0.000 0.000  3.05
Cd 0.000 0.500 0.000  -0.02

energy of formation	927	meV per atom
space-group type	P4/mmm, No. 123



No. 6
This record from the Alexandria database describes an optimized crystal structure of ZrInSe. The functional is PBE.

a = 6.067 Å, b = 6.067 Å, c = 3.505 Å
α = 73.21°, β = 73.21°, γ = 33.58°
Fractional positions:
In 0.007 0.007 0.993
Se 0.298 0.298 0.702
Zr 0.695 0.695 0.305

energy relative to the lowest polymorph listed for this composition	0.0248	eV per atom
E_form (uncorrected)	-0.70	eV per atom
space-group type	I4mm, No. 107



No. 7
This record from the Alexandria database describes an optimized crystal structure of Cs3TmU2Se9. The functional is PBE.

a = 7.748 Å, b = 7.748 Å, c = 9.509 Å
α = 90.00°, β = 90.00°, γ = 120.00°
Site moments in Bohr magnetons follow the coordinates.
Fractional positions:
Cs 0.333 0.667 0.663  0.00
Cs 0.000 0.000 0.000  0.00
Cs 0.667 0.333 0.337  0.00
Tm 0.000 0.000 0.500  -0.01
U 0.333 0.667 0.169  0.22
U 0.667 0.333 0.831  0.22
Se 0.830 0.170 0.674  -0.02
Se 0.830 0.660 0.674  -0.02
Se 0.340 0.170 0.674  -0.02
Se 0.660 0.830 0.326  -0.02
Se 0.170 0.340 0.326  -0.02
Se 0.170 0.830 0.326  -0.02
Se 0.500 0.000 0.000  -0.02
Se 0.000 0.500 0.000  -0.02
Se 0.500 0.500 0.000  -0.02

E_form (uncorrected)	-1.26	eV per atom
space-group type	P-3m1, No. 164



No. 8
This record from the Alexandria database describes an optimized crystal structure of YHo2Th3Bi6. The functional is PBE.

a = 4.541 Å, b = 9.039 Å, c = 10.134 Å
α = 102.70°, β = 102.95°, γ = 90.00°
Fractional positions:
Y 0.500 0.000 0.000
Ho 0.833 0.667 0.667
Ho 0.167 0.333 0.333
Th 0.500 0.500 0.000
Th 0.834 0.167 0.668
Th 0.166 0.833 0.332
Bi 0.335 0.910 0.670
Bi 0.669 0.577 0.338
Bi 0.665 0.090 0.330
Bi 0.003 0.245 0.005
Bi 0.997 0.755 0.995
Bi 0.331 0.423 0.662

energy of formation	-708	meV per atom
space-group type	C2/m, No. 12



No. 9
This record from the Alexandria database describes an optimized crystal structure of Co4Pt5. The functional is PBE.

a = 5.296 Å, b = 7.430 Å, c = 7.430 Å
α = 120.00°, β = 90.00°, γ = 90.00°
Site moments in Bohr magnetons follow the coordinates.
Fractional positions:
Co 0.000 0.000 0.000  2.00
Co 0.500 0.000 0.000  2.00
Co 0.750 0.334 0.334  1.98
Co 0.750 0.000 0.666  1.98
Co 0.750 0.666 0.000  1.98
Co 0.250 0.666 0.666  1.98
Co 0.250 0.000 0.334  1.98
Co 0.250 0.334 0.000  1.98
Pt 0.750 0.678 0.678  0.45
Pt 0.750 0.000 0.322  0.45
Pt 0.750 0.322 0.000  0.45
Pt 0.250 0.322 0.322  0.45
Pt 0.250 0.000 0.678  0.45
Pt 0.250 0.678 0.000  0.45
Pt 0.000 0.667 0.333  0.39
Pt 0.500 0.333 0.667  0.39
Pt 0.000 0.333 0.667  0.39
Pt 0.500 0.667 0.333  0.39

energy relative to the lowest polymorph listed for this composition	0.1198	eV per atom
energy of formation	35	meV per atom
space-group type	P6_3/mcm, No. 193



No. 10
This record from the Alexandria database describes an optimized crystal structure of SrGa3As. The functional is PBE.

a = 5.109 Å, b = 5.109 Å, c = 5.109 Å
α = 90.00°, β = 90.00°, γ = 90.00°
Fractional positions:
Sr 0.500 0.500 0.500
As 0.000 0.000 0.000
Ga 0.000 0.500 0.000
Ga 0.000 0.000 0.500
Ga 0.500 0.000 0.000

energy relative to the lowest polymorph listed for this composition	0.0000	eV per atom
energy of formation	49	meV per atom
space-group type	Pm-3m, No. 221



No. 11
This record from the Alexandria database describes an optimized crystal structure of In2SiOs. The functional is PBE.

a = 3.676 Å, b = 3.676 Å, c = 5.400 Å
α = 90.00°, β = 90.00°, γ = 90.00°
Site moments in Bohr magnetons follow the coordinates.
Fractional positions:
In 0.000 0.000 0.003  0.00
In 0.000 0.000 0.497  0.00
Os 0.500 0.500 0.250  0.19
Si 0.500 0.500 0.750  0.00

E_form (uncorrected)	0.56	eV per atom
space-group type	P4/mmm, No. 123



No. 12
This record from the Alexandria database describes an optimized crystal structure of MgCdAs2. The functional is PBE.

a = 3.161 Å, b = 3.161 Å, c = 8.315 Å
α = 90.00°, β = 90.00°, γ = 94.14°
Fractional positions:
As 0.000 0.000 0.979
As 0.000 0.000 0.521
Cd 0.500 0.500 0.250
Mg 0.500 0.500 0.750

energy relative to the lowest polymorph listed for this composition	0.1060	eV per atom
energy of formation	-15	meV per atom
space-group type	Cmmm, No. 65